Tb15Y4Ho: relaxed, PBE.

Its formation energy is 0.018 eV/atom.

It has space group P4/mmm (No. 123), with a = 5.038 Å, b = 5.038 Å, c = 25.184 Å, α = 90.00°, β = 90.00° and γ = 90.00°. The asymmetric unit holds Tb at (0.000, 0.000, 0.000), Tb at (0.000, 0.000, 0.200), Tb at (0.000, 0.000, 0.400), Tb at (0.000, 0.500, 0.099), Tb at (0.000, 0.500, 0.300), Tb at (0.000, 0.500, 0.500), Y at (0.500, 0.500, 0.200), Y at (0.500, 0.500, 0.400) and Ho at (0.500, 0.500, 0.000).

=====

Nd3Ag5F12: relaxed, PBE.

As for the uncorrected formation energy: -2.37 eV per atom.

It has space group Ia-3d (No. 230), with a = 14.040 Å, b = 14.040 Å, c = 14.040 Å, α = 90.00°, β = 90.00° and γ = 90.00°. The asymmetric unit holds Nd at (0.000, 0.250, 0.125), Ag at (0.000, 0.000, 0.000), Ag at (0.000, 0.250, 0.375) and F at (0.011, 0.083, 0.653).